[1]
This record from Alexandria describes CaTaPt after structural relaxation. The functional is PBE-GGA.

Geometry as POSCAR:
```
CaTaPt
1.0
-1.691 1.691 5.957
1.691 -1.691 5.957
1.691 1.691 -5.957
Ca Ta Pt
1 1 1
direct
0.000 0.000 0.000
0.711 0.711 0.000
0.303 0.303 0.000
```

total magnetic moment = 0.000 μB per cell
offset from the most stable computed form = 0.00 eV per formula unit
final energy = -6.8379 eV per atom
formation energy from the elements = -0.206 eV/atom
V = 22.72 Å³/atom
space group = I4mm, No. 107

***

[2]
This record from Alexandria describes HgTeI2F after structural relaxation. The functional is PBE-GGA.

Geometry as POSCAR:
```
HgTeI2F
1.0
6.099 0.000 0.000
0.000 6.099 0.000
0.000 0.000 4.235
Hg Te I F
1 1 2 1
direct
0.000 0.000 0.000
0.500 0.500 0.000
0.000 0.500 0.500
0.500 0.000 0.500
0.500 0.500 0.500
```

total magnetic moment = 0.000 μB per cell
offset from the most stable computed form = 0.00 eV per formula unit
final energy = -1.7804 eV per atom
V = 31.51 Å³/atom
space group = P4/mmm, No. 123
E_form (uncorrected) = -0.487 eV/f.u.

***

[3]
This record from Alexandria describes Dy7Y2Er3 after structural relaxation. The functional is PBE-GGA.

Geometry as POSCAR:
```
Dy7Y2Er3
1.0
6.302 0.000 0.000
0.000 3.500 0.000
-1.867 0.000 17.219
Dy Y Er
7 2 3
direct
0.000 0.000 0.000
0.227 0.500 0.168
0.256 0.500 0.498
0.274 0.000 0.835
0.726 0.000 0.165
0.744 0.500 0.502
0.773 0.500 0.832
0.060 0.500 0.673
0.940 0.500 0.327
0.450 0.000 0.342
0.500 0.500 0.000
0.550 0.000 0.658
```

total magnetic moment = 0.000 μB per cell
offset from the most stable computed form = 0.00 eV per formula unit
final energy = -4.8249 eV per atom
formation energy from the elements = 0.078 eV/atom
V = 31.65 Å³/atom
space group = P2/m, No. 10

***

[4]
This record from Alexandria describes LiCoSb2 after structural relaxation. The functional is PBE-GGA.

Geometry as POSCAR:
```
LiCoSb2
1.0
4.128 0.000 0.000
0.000 1.824 4.744
0.000 -1.824 4.744
Li Co Sb
1 1 2
direct
0.000 0.000 0.000
0.500 0.155 0.155
0.000 0.718 0.718
0.500 0.451 0.451
```

total magnetic moment = 0.000 μB per cell
offset from the most stable computed form = 0.45 eV per formula unit
final energy = -4.3579 eV per atom
V = 17.86 Å³/atom
space group = Amm2, No. 38
E_form (uncorrected) = -0.167 eV/f.u.

***

[5]
This record from Alexandria describes LiHoPdAu after structural relaxation. The functional is PBE-GGA.

Geometry as POSCAR:
```
LiHoPdAu
1.0
0.000 3.373 3.373
3.373 0.000 3.373
3.373 3.373 0.000
Li Ho Pd Au
1 1 1 1
direct
0.000 0.000 0.000
0.500 0.500 0.500
0.250 0.250 0.250
0.750 0.750 0.750
```

total magnetic moment = 0.000 μB per cell
offset from the most stable computed form = 0.08 eV per formula unit
final energy = -4.4447 eV per atom
formation energy from the elements = -0.704 eV/atom
V = 19.19 Å³/atom
space group = F-43m, No. 216

***

[6]
This record from Alexandria describes Al3SbBr after structural relaxation. The functional is PBE-GGA.

Geometry as POSCAR:
```
Al3SbBr
1.0
5.561 0.000 0.000
0.000 5.561 0.000
0.000 0.000 5.561
Al Sb Br
3 1 1
direct
0.000 0.000 0.500
0.000 0.500 0.000
0.500 0.000 0.000
0.000 0.000 0.000
0.500 0.500 0.500
```

total magnetic moment = 0.000 μB per cell
offset from the most stable computed form = 0.00 eV per formula unit
final energy = -2.7823 eV per atom
V = 34.40 Å³/atom
space group = Pm-3m, No. 221
E_form (uncorrected) = 3.111 eV/f.u.

***

[7]
This record from Alexandria describes ScBeTcAg2 after structural relaxation. The functional is PBE-GGA.

Geometry as POSCAR:
```
ScBeTcAg2
1.0
5.012 0.000 0.000
0.000 5.012 0.000
0.000 0.000 4.509
Sc Be Tc Ag
1 1 1 2
direct
0.000 0.000 0.000
0.500 0.500 0.500
0.000 0.000 0.500
0.000 0.500 0.000
0.500 0.000 0.000
```

total magnetic moment = 0.008 μB per cell
final energy = -3.6749 eV per atom
formation energy from the elements = 1.550 eV/atom
V = 22.66 Å³/atom
space group = P4/mmm, No. 123

***

[8]
This record from Alexandria describes YSn3Au after structural relaxation. The functional is PBE-GGA.

Geometry as POSCAR:
```
YSn3Au
1.0
5.786 0.000 0.000
0.000 5.786 0.000
0.000 0.000 5.786
Y Sn Au
1 3 1
direct
0.000 0.000 0.000
0.000 0.000 0.500
0.000 0.500 0.000
0.500 0.000 0.000
0.500 0.500 0.500
```

total magnetic moment = 0.000 μB per cell
offset from the most stable computed form = 5.75 eV per formula unit
final energy = -3.6251 eV per atom
formation energy from the elements = 0.725 eV/atom
V = 38.74 Å³/atom
space group = Pm-3m, No. 221